The following is a DFT calculation (GGA-PBE) of a relaxed structure of La3Zn2Os.

Cell: 4.532 11.241 12.645 Å, 90.00 90.00 90.00°
Sites, in units of the cell vectors:
1 Os 0.750 0.639 0.385
2 La 0.750 0.556 0.611
3 Zn 0.250 0.801 0.988
4 La 0.250 0.383 0.053
5 Zn 0.750 0.199 0.012
6 La 0.750 0.617 0.947
7 La 0.250 0.056 0.889
8 La 0.750 0.214 0.260
9 Os 0.750 0.861 0.885
10 La 0.250 0.714 0.240
11 Zn 0.250 0.699 0.488
12 Os 0.250 0.139 0.115
13 Os 0.250 0.361 0.615
14 La 0.750 0.286 0.760
15 La 0.250 0.444 0.389
16 Zn 0.250 0.010 0.293
17 La 0.250 0.786 0.740
18 Zn 0.250 0.490 0.793
19 Zn 0.750 0.990 0.707
20 La 0.750 0.883 0.447
21 La 0.750 0.944 0.111
22 Zn 0.750 0.301 0.512
23 La 0.250 0.117 0.553
24 Zn 0.750 0.510 0.207

Summary:
* calculated volume: 26.84 Å³ per atom
* calculated total energy: -4.9933 eV/atom
* energy of formation: -1.40 eV per formula unit